Cu2TeRh: relaxed, PBE-GGA.

Total DFT energy (no corrections): -4.24 eV/atom
E_form (uncorrected): 427.5 meV per atom
Space group: R-3m
Size of the total moment: 0.6 μB per formula unit

Lattice parameters (Å, degrees): 8.496 8.496 8.496 20.65 20.65 20.65
Atoms (fractional coordinates):
1 Cu 0.244 0.244 0.244
2 Cu 0.756 0.756 0.756
3 Te 0.000 0.000 0.000
4 Rh 0.500 0.500 0.500


BaZrCl2: relaxed, PBE-GGA.

Total DFT energy (no corrections): -4.46 eV/atom
Energy above the most stable polymorph in this dataset: 0.144 eV/atom
E_form (uncorrected): -918.5 meV per atom
Space group: Imm2
Size of the total moment: 0.0 μB per formula unit

Lattice parameters (Å, degrees): 7.449 7.449 7.449 152.40 147.77 42.94
Atoms (fractional coordinates):
1 Ba 0.000 0.000 0.000
2 Zr 0.759 0.259 0.500
3 Cl 0.193 0.693 0.500
4 Cl 0.385 0.385 0.000


Tb2HfTl: relaxed, PBE-GGA.

Total DFT energy (no corrections): -5.09 eV/atom
Energy above the most stable polymorph in this dataset: 0.391 eV/atom
Formation enthalpy at 0 K: 307.0 meV/atom
Space group: R-3m
Size of the total moment: 0.0 μB per formula unit

Lattice parameters (Å, degrees): 12.006 12.006 12.006 15.82 15.82 15.82
Atoms (fractional coordinates):
1 Tb 0.089 0.089 0.089
2 Tb 0.911 0.911 0.911
3 Hf 0.000 0.000 0.000
4 Tl 0.500 0.500 0.500


NaTlPS4: relaxed, PBE-GGA.

Total DFT energy (no corrections): -4.11 eV/atom
E_form (uncorrected): -456.8 meV per atom
Space group: P2_1/m
Size of the total moment: 0.2 μB per formula unit

Lattice parameters (Å, degrees): 6.587 5.599 10.656 90.00 102.45 90.00
Atoms (fractional coordinates):
1 Na 0.229 0.250 0.058
2 Na 0.771 0.750 0.942
3 Tl 0.294 0.250 0.566
4 Tl 0.706 0.750 0.434
5 P 0.185 0.750 0.789
6 P 0.815 0.250 0.211
7 S 0.033 0.509 0.291
8 S 0.033 0.991 0.291
9 S 0.242 0.750 0.982
10 S 0.443 0.750 0.716
11 S 0.557 0.250 0.284
12 S 0.758 0.250 0.018
13 S 0.967 0.009 0.709
14 S 0.967 0.491 0.709


CaAl3H: relaxed, PBE-GGA.

Total DFT energy (no corrections): -3.25 eV/atom
Space group: Pm-3m
Size of the total moment: 0.0 μB per formula unit

Lattice parameters (Å, degrees): 4.369 4.369 4.369 90.00 90.00 90.00
Atoms (fractional coordinates):
1 Ca 0.000 0.000 0.000
2 Al 0.000 0.500 0.500
3 Al 0.500 0.000 0.500
4 Al 0.500 0.500 0.000
5 H 0.500 0.500 0.500


Pm4PrEr2: relaxed, PBE-GGA.

Total DFT energy (no corrections): -4.64 eV/atom
Energy above the most stable polymorph in this dataset: 0.000 eV/atom
Formation enthalpy at 0 K: 59.0 meV/atom
Space group: Fdd2
Size of the total moment: 0.0 μB per formula unit

Lattice parameters (Å, degrees): 12.584 6.823 13.563 67.05 29.95 82.99
Atoms (fractional coordinates):
1 Pm 0.146 0.304 0.067
2 Pm 0.183 0.767 0.104
3 Pm 0.304 0.146 0.483
4 Pm 0.378 0.622 0.478
5 Pm 0.622 0.378 0.522
6 Pm 0.728 0.772 0.628
7 Pm 0.767 0.183 0.946
8 Pm 0.772 0.728 0.872
9 Pr 0.015 0.015 0.985
10 Pr 0.265 0.265 0.235
11 Er 0.207 0.693 0.360
12 Er 0.511 0.890 0.557
13 Er 0.693 0.207 0.739
14 Er 0.890 0.511 0.043


PaBe17Tc: relaxed, PBE-GGA.

Total DFT energy (no corrections): -4.42 eV/atom
Formation enthalpy at 0 K: -44.9 meV/atom
Space group: R3m
Size of the total moment: 0.0 μB per formula unit

Lattice parameters (Å, degrees): 5.679 5.679 5.679 83.19 83.19 83.19
Atoms (fractional coordinates):
1 Pa 0.000 0.000 0.000
2 Be 0.008 0.008 0.496
3 Be 0.008 0.496 0.008
4 Be 0.157 0.662 0.662
5 Be 0.320 0.320 0.801
6 Be 0.320 0.801 0.320
7 Be 0.373 0.651 0.953
8 Be 0.373 0.953 0.651
9 Be 0.496 0.008 0.008
10 Be 0.558 0.558 0.558
11 Be 0.651 0.373 0.953
12 Be 0.651 0.953 0.373
13 Be 0.662 0.157 0.662
14 Be 0.662 0.662 0.157
15 Be 0.751 0.751 0.751
16 Be 0.801 0.320 0.320
17 Be 0.953 0.373 0.651
18 Be 0.953 0.651 0.373
19 Tc 0.331 0.331 0.331


Ho6ScAl: relaxed, PBE-GGA.

Total DFT energy (no corrections): -4.65 eV/atom
Formation enthalpy at 0 K: 43.1 meV/atom
Space group: R-3
Size of the total moment: 0.8 μB per formula unit

Lattice parameters (Å, degrees): 6.153 6.153 6.153 93.30 93.30 93.30
Atoms (fractional coordinates):
1 Ho 0.033 0.549 0.758
2 Ho 0.242 0.967 0.451
3 Ho 0.451 0.242 0.967
4 Ho 0.549 0.758 0.033
5 Ho 0.758 0.033 0.549
6 Ho 0.967 0.451 0.242
7 Sc 0.500 0.500 0.500
8 Al 0.000 0.000 0.000


Repeat the fourth record exactly.
NaTlPS4: relaxed, PBE-GGA.

Total DFT energy (no corrections): -4.11 eV/atom
E_form (uncorrected): -456.8 meV per atom
Space group: P2_1/m
Size of the total moment: 0.2 μB per formula unit

Lattice parameters (Å, degrees): 6.587 5.599 10.656 90.00 102.45 90.00
Atoms (fractional coordinates):
1 Na 0.229 0.250 0.058
2 Na 0.771 0.750 0.942
3 Tl 0.294 0.250 0.566
4 Tl 0.706 0.750 0.434
5 P 0.185 0.750 0.789
6 P 0.815 0.250 0.211
7 S 0.033 0.509 0.291
8 S 0.033 0.991 0.291
9 S 0.242 0.750 0.982
10 S 0.443 0.750 0.716
11 S 0.557 0.250 0.284
12 S 0.758 0.250 0.018
13 S 0.967 0.009 0.709
14 S 0.967 0.491 0.709


What did the second record say?
BaZrCl2: relaxed, PBE-GGA.

Total DFT energy (no corrections): -4.46 eV/atom
Energy above the most stable polymorph in this dataset: 0.144 eV/atom
E_form (uncorrected): -918.5 meV per atom
Space group: Imm2
Size of the total moment: 0.0 μB per formula unit

Lattice parameters (Å, degrees): 7.449 7.449 7.449 152.40 147.77 42.94
Atoms (fractional coordinates):
1 Ba 0.000 0.000 0.000
2 Zr 0.759 0.259 0.500
3 Cl 0.193 0.693 0.500
4 Cl 0.385 0.385 0.000